Crystalline CsHo2Cu3S5 at its relaxed geometry. Source: the Open Quantum Materials Database, functional PBE.

It has space group Cmcm (No. 63), with a = 3.947 Å, b = 14.027 Å, c = 16.699 Å, α = 90.00°, β = 90.00° and γ = 90.00°. The asymmetric unit holds Cs at (0.000, 0.064, 0.250), Ho at (0.000, 0.193, 0.592), Cu at (0.000, 0.344, 0.250), Cu at (0.000, 0.417, 0.537), S at (0.000, 0.169, 0.068), S at (0.000, 0.232, 0.750) and S at (0.000, 0.437, 0.109).

The total DFT energy (no corrections) is -5.04 eV/atom. For the density, the calculation gives 5.8 Mg/m³. The calculation puts the total magnetization at 0.0000 μB per atom.